# Li2TiNi2O5

Crystalline Li2TiNi2O5 at its relaxed geometry (PBE+U, Alexandria).

Summary:
For the density of states at the Fermi level, the calculation gives 0.0 states/eV/f.u. As for the space group: C2, No. 5. The energy relative to the lowest polymorph listed for this composition is 0.0000 eV per atom. The uncorrected energy is -6.143 eV/atom.

abc: 7.729 7.729 5.208
angles: 97.07 97.07 140.91
Fractional coordinates of all 20 atoms:
Li (0.000, 0.000, 0.000)
Li (0.298, 0.702, 0.500)
Li (0.596, 0.404, 0.000)
Li (0.900, 0.100, 0.500)
Ti (0.496, 0.504, 0.500)
Ti (0.797, 0.203, 0.000)
Ni (0.098, 0.902, 0.500)
Ni (0.194, 0.806, 0.000)
Ni (0.401, 0.599, 0.000)
Ni (0.699, 0.301, 0.500)
O (0.031, 0.436, 0.773)
O (0.152, 0.354, 0.245)
O (0.272, 0.275, 0.726)
O (0.346, 0.155, 0.266)
O (0.462, 0.054, 0.758)
O (0.564, 0.969, 0.227)
O (0.646, 0.848, 0.755)
O (0.725, 0.728, 0.274)
O (0.845, 0.654, 0.734)
O (0.946, 0.538, 0.242)